DFT (PBE) results for Co4CuSb after structural relaxation.

Cell: 4.823 4.823 4.823 Å, 60.00 60.00 60.00°
Element x y z (fractional)
Co 0.376 0.376 0.376
Co 0.376 0.376 0.873
Co 0.376 0.873 0.376
Co 0.873 0.376 0.376
Cu 0.750 0.750 0.750
Sb 0.000 0.000 0.000

uncorrected formation energy: 0.25 eV/atom
SG: F-43m
raw total energy: -0.2151 hartree per atom
volume: 13.22 A^3/atom

DFT (PBE) results for CoCuSb after structural relaxation.

Cell: 3.942 3.942 5.993 Å, 90.00 90.00 90.00°
Element x y z (fractional)
Co 0.250 0.750 0.000
Co 0.750 0.250 0.000
Cu 0.250 0.250 0.278
Cu 0.750 0.750 0.722
Sb 0.250 0.250 0.722
Sb 0.750 0.750 0.278

uncorrected formation energy: -0.02 eV/atom
SG: P4/nmm
raw total energy: -0.1886 hartree per atom
volume: 15.52 A^3/atom

What did the second record say?
DFT (PBE) results for CoCuSb after structural relaxation.

Cell: 3.942 3.942 5.993 Å, 90.00 90.00 90.00°
Element x y z (fractional)
Co 0.250 0.750 0.000
Co 0.750 0.250 0.000
Cu 0.250 0.250 0.278
Cu 0.750 0.750 0.722
Sb 0.250 0.250 0.722
Sb 0.750 0.750 0.278

uncorrected formation energy: -0.02 eV/atom
SG: P4/nmm
raw total energy: -0.1886 hartree per atom
volume: 15.52 A^3/atom